Record 1
Below is a relaxed Mn2InCl crystal, with properties calculated at the GGA-PBE level.

Cell lengths 6.508, 6.508, 4.615 Å; angles 90.01, 90.01, 27.21 degrees
Sites, in units of the cell vectors:
Mn 0.000 0.000 0.000
Mn 0.673 0.673 0.000
In 0.548 0.548 0.500
Cl 0.322 0.322 0.998

* offset from the most stable computed form: 0.043 eV per atom
* formation energy from raw total energies: 0.08 eV per atom
* total energy: -22.61 eV/cell
* space group: Cm



Record 2
Below is a relaxed Ge3BrO crystal, with properties calculated at the GGA-PBE level.

Cell lengths 5.209, 5.209, 5.209 Å; angles 90.00, 90.00, 90.00 degrees
Sites, in units of the cell vectors:
Ge 0.000 0.000 0.500
Ge 0.000 0.500 0.000
Ge 0.500 0.000 0.000
Br 0.000 0.000 0.000
O 0.500 0.500 0.500

* offset from the most stable computed form: 1.131 eV per atom
* formation energy from raw total energies: 1.35 eV per atom
* total energy: -13.74 eV/cell
* space group: Pm-3m